A plane-wave DFT calculation with GGA-PBE was carried out for a relaxed structure of LaPuTlRu.

abc: 3.407 3.407 8.663
angles: 90.00 90.00 90.00
Space group P4mm (No. 99)
One atom of each set of equivalent atoms:
1 La 0.000 0.000 0.000 (multiplicity 1)
2 Pu 0.000 0.000 0.595 (multiplicity 1)
3 Tl 0.500 0.500 0.308 (multiplicity 1)
4 Ru 0.500 0.500 0.778 (multiplicity 1)

Results
density of states at the Fermi level = 8.29 states/eV/cell
uncorrected energy = -7.905 eV/atom
E_form = -0.18 eV/atom
V = 25.140 A^3/atom